K2CdInTc: optimized geometry, GGA-PBEsol.

Summary:
Calculated formation energy: 130.0 kJ/mol of atoms
Total magnetic moment: 0.79 μB per atom

a b c (Å): 6.1403 6.1403 5.2117
angles (deg): 90.00 90.00 90.00
With the nearest neighbours (Å) after each atom.
Atoms (fractional coordinates):
K 0.0000 0.5000 0.0000  2 Cd 3.07
K 0.5000 0.0000 0.0000  2 Cd 3.07
Cd 0.0000 0.0000 0.0000  2 In 2.61
In 0.0000 0.0000 0.5000  2 Cd 2.61
Tc 0.5000 0.5000 0.5000  8 K 4.03, 4 In 4.34